A plane-wave DFT calculation with GGA+U was carried out for Na3Nd3CoO8 after structural relaxation.

## Properties
V, Å³/atom: 15.2
E, eV/cell: -286.43
Total magnetic moment, Bohr magnetons per cell: 3.331

The structure in CIF format:
```
data_Na3Nd3CoO8
_chemical_formula_sum 'Na9 Nd9 Co3 O24'
_symmetry_space_group_name_H-M 'R -3 m'
_symmetry_Int_Tables_number 166
_symmetry_space_group_name_Hall '-R 3 2"'
_cell_length_a 6.9002
_cell_length_b 6.9002
_cell_length_c 16.6228
_cell_angle_alpha 90.00
_cell_angle_beta 90.00
_cell_angle_gamma 120.00
loop_
_atom_site_label
_atom_site_type_symbol
_atom_site_fract_x
_atom_site_fract_y
_atom_site_fract_z
Na1 Na 0.0000 0.5000 0.0000
Nd1 Nd 0.0000 0.5000 0.5000
Co1 Co 0.0000 0.0000 0.5000
O1 O 0.0000 0.0000 0.2403
O2 O 0.0497 0.5248 0.2319
```